(1)
# K2H6N2O

Crystalline K2H6N2O at its relaxed geometry (GGA-PBE, Alexandria).

abc: 3.784 6.144 8.415
angles: 137.54 90.00 107.94
Sites, in units of the cell vectors:
H 0.157 0.313 0.357
H 0.843 0.687 0.643
H 0.250 0.063 0.358
H 0.813 0.063 0.358
H 0.750 0.937 0.642
H 0.187 0.937 0.642
N 0.033 0.065 0.278
N 0.967 0.935 0.722
O 0.500 0.000 0.500
K 0.736 0.473 0.174
K 0.264 0.527 0.826

## Properties
Fermi-level density of states: 0.00 states/eV/atom
Electronic total energy: -50.0 eV for the cell shown
Magnetic moment: 0.085 μB per formula unit

---

(2)
# SrEu2Bi

Crystalline SrEu2Bi at its relaxed geometry (GGA-PBE, Alexandria).

abc: 4.475 4.475 7.718
angles: 90.00 90.00 90.00
Sites, in units of the cell vectors:
Eu 0.000 0.000 0.207
Eu 0.000 0.000 0.793
Sr 0.500 0.500 0.500
Bi 0.500 0.500 0.000

## Properties
Fermi-level density of states: 0.76 states/eV/atom
Electronic total energy: -27.8 eV for the cell shown
Magnetic moment: 14.729 μB per formula unit
Energy relative to the elements: -0.420 eV per atom

---

(3)
# Ac4PmTl4

Crystalline Ac4PmTl4 at its relaxed geometry (GGA-PBE, Alexandria).

abc: 6.483 9.938 9.938
angles: 90.00 90.00 90.00
Sites, in units of the cell vectors:
Tl 0.126 0.306 0.401
Tl 0.626 0.099 0.806
Tl 0.126 0.694 0.599
Tl 0.374 0.806 0.901
Tl 0.374 0.194 0.099
Tl 0.626 0.901 0.194
Tl 0.874 0.401 0.694
Tl 0.874 0.599 0.306
Ac 0.631 0.828 0.579
Ac 0.369 0.421 0.828
Ac 0.131 0.921 0.328
Ac 0.869 0.672 0.921
Ac 0.631 0.172 0.421
Ac 0.131 0.079 0.672
Ac 0.869 0.328 0.079
Ac 0.369 0.579 0.172
Pm 0.000 0.000 0.000
Pm 0.500 0.500 0.500

## Properties
Fermi-level density of states: 0.93 states/eV/atom
Electronic total energy: -64.6 eV for the cell shown
Magnetic moment: 0.000 μB per formula unit
Energy relative to the elements: -0.185 eV per atom

---

(4)
# Rb2TlCdSb2

Crystalline Rb2TlCdSb2 at its relaxed geometry (GGA-PBE, Alexandria).

abc: 7.379 7.323 9.878
angles: 111.76 111.93 90.00
Sites, in units of the cell vectors:
Cd 0.500 0.250 0.000
Cd 0.500 0.750 0.000
Tl 0.000 0.750 0.000
Tl 0.000 0.250 0.000
Sb 0.631 0.400 0.800
Sb 0.831 0.100 0.200
Sb 0.169 0.900 0.800
Sb 0.369 0.600 0.200
Rb 0.926 0.668 0.336
Rb 0.589 0.832 0.664
Rb 0.074 0.332 0.664
Rb 0.411 0.168 0.336

## Properties
Fermi-level density of states: 0.22 states/eV/atom
Formation energy from raw total energies: -0.34 eV per atom
Electronic total energy: -31.0 eV for the cell shown
Magnetic moment: 0.000 μB per formula unit

---

(5)
# KSb2N2

Crystalline KSb2N2 at its relaxed geometry (GGA-PBE, Alexandria).

abc: 4.655 4.655 6.830
angles: 70.08 70.08 90.00
Sites, in units of the cell vectors:
Sb 0.250 0.750 0.500
Sb 0.750 0.250 0.500
N 0.765 0.765 0.470
N 0.235 0.235 0.530
K 0.000 0.000 0.000

## Properties
Fermi-level density of states: 0.60 states/eV/atom
Formation energy from raw total energies: 0.64 eV per atom
Electronic total energy: -22.8 eV for the cell shown
Magnetic moment: 0.000 μB per formula unit

---

(6)
# Pa2NiMoN6

Crystalline Pa2NiMoN6 at its relaxed geometry (GGA-PBE, Alexandria).

abc: 4.614 5.285 5.285
angles: 90.00 90.00 90.00
Sites, in units of the cell vectors:
N 0.722 0.748 0.748
N 0.177 0.500 0.500
N 0.722 0.748 0.252
N 0.722 0.252 0.252
N 0.722 0.252 0.748
N 0.184 0.000 0.000
Ni 0.626 0.000 0.000
Mo 0.575 0.500 0.500
Pa 0.999 0.500 0.000
Pa 0.999 0.000 0.500

## Properties
Fermi-level density of states: 0.34 states/eV/atom
Formation energy from raw total energies: -0.62 eV per atom
Electronic total energy: -91.8 eV for the cell shown
Magnetic moment: 0.000 μB per formula unit

---

(7)
# CePm4Sm7

Crystalline CePm4Sm7 at its relaxed geometry (GGA-PBE, Alexandria).

abc: 6.066 9.286 10.186
angles: 75.10 90.32 49.26
Sites, in units of the cell vectors:
Sm 0.461 0.284 0.430
Sm 0.291 0.461 0.079
Sm 0.709 0.539 0.921
Sm 0.061 0.187 0.629
Sm 0.500 0.000 0.000
Sm 0.939 0.813 0.371
Sm 0.539 0.716 0.570
Pm 0.110 0.137 0.269
Pm 0.655 0.593 0.269
Pm 0.345 0.407 0.731
Pm 0.890 0.863 0.731
Ce 0.000 0.000 0.000

## Properties
Fermi-level density of states: 1.87 states/eV/atom
Electronic total energy: -56.2 eV for the cell shown
Magnetic moment: 1.279 μB per formula unit
Energy relative to the elements: 0.146 eV per atom

---

(8)
# BaLiTc3

Crystalline BaLiTc3 at its relaxed geometry (GGA-PBE, Alexandria).

abc: 4.605 4.605 4.605
angles: 90.00 90.00 90.00
Sites, in units of the cell vectors:
Tc 0.000 0.500 0.000
Tc 0.500 0.000 0.000
Tc 0.000 0.000 0.500
Ba 0.500 0.500 0.500
Li 0.000 0.000 0.000

## Properties
Fermi-level density of states: 1.33 states/eV/atom
Electronic total energy: -27.0 eV for the cell shown
Magnetic moment: 5.617 μB per formula unit
Energy relative to the elements: 1.594 eV per atom